# SnPbSCl2, optimized geometry, DFT PBE-GGA
# - energy relative to the lowest polymorph listed for this composition (meV per atom) = 0
# - formation energy from raw total energies (eV per formula unit) = -4.0
# - volume (Å³ per atom) = 29.122
data_SnPbSCl2
_cell_length_a 7.068
_cell_length_b 7.068
_cell_length_c 10.355
_cell_angle_alpha 90.00
_cell_angle_beta 90.00
_cell_angle_gamma 145.74
_symmetry_space_group_name_H-M 'P 1'
_symmetry_Int_Tables_number 1
loop_
_symmetry_equiv_pos_as_xyz
'x,y,z'
loop_
_atom_site_label
_atom_site_type_symbol
_atom_site_fract_x
_atom_site_fract_y
_atom_site_fract_z
Sn1 Sn 0.000 0.000 0.000
Sn2 Sn 0.000 0.000 0.500
Pb1 Pb 0.283 0.717 0.750
Pb2 Pb 0.717 0.283 0.250
S1 S 0.085 0.915 0.250
S2 S 0.915 0.085 0.750
Cl1 Cl 0.356 0.644 0.055
Cl2 Cl 0.356 0.644 0.445
Cl3 Cl 0.644 0.356 0.555
Cl4 Cl 0.644 0.356 0.945

---

# TaPbS2Cl, optimized geometry, DFT PBE-GGA
# - energy relative to the lowest polymorph listed for this composition (meV per atom) = 0
# - formation energy from raw total energies (eV per formula unit) = -2.5
# - volume (Å³ per atom) = 22.866
data_TaPbS2Cl
_cell_length_a 4.860
_cell_length_b 4.860
_cell_length_c 4.841
_cell_angle_alpha 90.00
_cell_angle_beta 90.00
_cell_angle_gamma 90.00
_symmetry_space_group_name_H-M 'P 1'
_symmetry_Int_Tables_number 1
loop_
_symmetry_equiv_pos_as_xyz
'x,y,z'
loop_
_atom_site_label
_atom_site_type_symbol
_atom_site_fract_x
_atom_site_fract_y
_atom_site_fract_z
Ta1 Ta 0.000 0.000 0.000
Pb1 Pb 0.500 0.500 0.500
S1 S 0.000 0.500 0.000
S2 S 0.500 0.000 0.000
Cl1 Cl 0.000 0.000 0.500

---

# TaPbS2Cl, optimized geometry, DFT PBE-GGA
# - energy relative to the lowest polymorph listed for this composition (meV per atom) = 1719
# - formation energy from raw total energies (eV per formula unit) = 6.1
# - volume (Å³ per atom) = 28.582
data_TaPbS2Cl
_cell_length_a 5.274
_cell_length_b 5.274
_cell_length_c 5.138
_cell_angle_alpha 90.00
_cell_angle_beta 90.00
_cell_angle_gamma 90.00
_symmetry_space_group_name_H-M 'P 1'
_symmetry_Int_Tables_number 1
loop_
_symmetry_equiv_pos_as_xyz
'x,y,z'
loop_
_atom_site_label
_atom_site_type_symbol
_atom_site_fract_x
_atom_site_fract_y
_atom_site_fract_z
Ta1 Ta 0.000 0.000 0.000
Pb1 Pb 0.500 0.500 0.500
S1 S 0.000 0.500 0.500
S2 S 0.500 0.000 0.500
Cl1 Cl 0.500 0.500 0.000

---

# TcPbSCl2, optimized geometry, DFT PBE-GGA
# - energy relative to the lowest polymorph listed for this composition (meV per atom) = 768
# - formation energy from raw total energies (eV per formula unit) = 3.1
# - volume (Å³ per atom) = 29.233
data_TcPbSCl2
_cell_length_a 5.205
_cell_length_b 5.205
_cell_length_c 5.396
_cell_angle_alpha 90.00
_cell_angle_beta 90.00
_cell_angle_gamma 90.00
_symmetry_space_group_name_H-M 'P 1'
_symmetry_Int_Tables_number 1
loop_
_symmetry_equiv_pos_as_xyz
'x,y,z'
loop_
_atom_site_label
_atom_site_type_symbol
_atom_site_fract_x
_atom_site_fract_y
_atom_site_fract_z
Tc1 Tc 0.000 0.000 0.000
Pb1 Pb 0.500 0.500 0.500
S1 S 0.500 0.500 0.000
Cl1 Cl 0.000 0.500 0.500
Cl2 Cl 0.500 0.000 0.500

---

# TcPbSCl2, optimized geometry, DFT PBE-GGA
# - energy relative to the lowest polymorph listed for this composition (meV per atom) = 0
# - formation energy from raw total energies (eV per formula unit) = -0.8
# - volume (Å³ per atom) = 24.054
data_TcPbSCl2
_cell_length_a 5.174
_cell_length_b 5.174
_cell_length_c 4.493
_cell_angle_alpha 90.00
_cell_angle_beta 90.00
_cell_angle_gamma 90.00
_symmetry_space_group_name_H-M 'P 1'
_symmetry_Int_Tables_number 1
loop_
_symmetry_equiv_pos_as_xyz
'x,y,z'
loop_
_atom_site_label
_atom_site_type_symbol
_atom_site_fract_x
_atom_site_fract_y
_atom_site_fract_z
Tc1 Tc 0.000 0.000 0.000
Pb1 Pb 0.500 0.500 0.500
S1 S 0.000 0.000 0.500
Cl1 Cl 0.000 0.500 0.000
Cl2 Cl 0.500 0.000 0.000

---

# TePbSCl2, optimized geometry, DFT PBE-GGA
# - energy relative to the lowest polymorph listed for this composition (meV per atom) = 0
# - formation energy from raw total energies (eV per formula unit) = -0.1
# - volume (Å³ per atom) = 30.853
data_TePbSCl2
_cell_length_a 5.395
_cell_length_b 5.395
_cell_length_c 5.300
_cell_angle_alpha 90.00
_cell_angle_beta 90.00
_cell_angle_gamma 90.00
_symmetry_space_group_name_H-M 'P 1'
_symmetry_Int_Tables_number 1
loop_
_symmetry_equiv_pos_as_xyz
'x,y,z'
loop_
_atom_site_label
_atom_site_type_symbol
_atom_site_fract_x
_atom_site_fract_y
_atom_site_fract_z
Te1 Te 0.000 0.000 0.000
Pb1 Pb 0.500 0.500 0.500
S1 S 0.000 0.000 0.500
Cl1 Cl 0.000 0.500 0.000
Cl2 Cl 0.500 0.000 0.000